Y5ScSb4 | PBE | optimized geometry

Cell lengths 4.252, 8.292, 9.459 Å; angles 104.73, 102.99, 90.00 degrees
Positions (direct):
Y 0.824 0.647 0.648
Y 0.834 0.178 0.667
Y 0.166 0.822 0.333
Y 0.500 0.500 0.000
Y 0.176 0.353 0.352
Sc 0.500 0.000 0.000
Sb 0.335 0.915 0.671
Sb 0.995 0.755 0.990
Sb 0.665 0.085 0.329
Sb 0.005 0.245 0.010

## Properties
The value obtained for the spin magnetization is 0.000 μB/f.u. As for the formation energy from raw total energies: -71.7 kJ/mol of atoms. Its electronic total energy is -0.22996 hartree per atom. The space group is C2/m. The density of states at the Fermi level comes out at 5.520 states/eV/f.u.